[1]
The following is a PBE calculation of a relaxed structure of SmYHo3Er, from the Alexandria database.

Results
The calculated total energy comes out at -56.51 eV/cell. Its calculated density is 7.8 g/cm³. As for the crystal system: monoclinic. The value obtained for the size of the total moment is 0.0000 μB per atom. The value obtained for the volume is 32.178 Å³/atom.

Cell lengths 5.7246, 9.6733, 7.2999 Å; angles 90.32, 90.00, 107.21 degrees
Positions (direct):
Sm1 0.9611 0.9222 0.7481
Sm2 0.0389 0.0778 0.2519
Ho1 0.1709 0.3418 0.7459
Ho2 0.7845 0.5691 0.7490
Ho3 0.5229 0.0458 0.7447
Ho4 0.2155 0.4309 0.2510
Ho5 0.8291 0.6582 0.2541
Ho6 0.4771 0.9542 0.2553
Y1 0.3521 0.7042 0.9631
Y2 0.6479 0.2958 0.0369
Er1 0.6487 0.2973 0.4591
Er2 0.3513 0.7027 0.5409

---

[2]
The following is a PBE calculation of a relaxed structure of SmY2HoEr2, from the Alexandria database.

Results
The calculated total energy comes out at -59.43 eV/cell. Its calculated density is 7.0 g/cm³. As for the crystal system: orthorhombic. The value obtained for the size of the total moment is 0.0000 μB per atom. The value obtained for the volume is 32.707 Å³/atom.

Cell lengths 3.3883, 6.5449, 17.6984 Å; angles 90.00, 90.00, 90.00 degrees
Positions (direct):
Ho1 0.0000 0.0000 0.0000
Ho2 0.5000 0.5000 0.5000
Y1 0.0000 0.7684 0.1847
Y2 0.5000 0.2684 0.3153
Y3 0.5000 0.7316 0.6847
Y4 0.0000 0.2316 0.8153
Sm1 0.5000 0.5000 0.0000
Sm2 0.0000 0.0000 0.5000
Er1 0.5000 0.2310 0.6473
Er2 0.5000 0.7690 0.3527
Er3 0.0000 0.2690 0.1473
Er4 0.0000 0.7310 0.8527

---

[3]
The following is a PBE calculation of a relaxed structure of Sm2Y4Ho2Er, from the Alexandria database.

Results
The calculated total energy comes out at -48.95 eV/cell. Its calculated density is 6.6 g/cm³. As for the crystal system: monoclinic. The value obtained for the size of the total moment is 0.0000 μB per atom. The value obtained for the volume is 32.197 Å³/atom.

Cell lengths 3.5986, 9.5213, 9.5652 Å; angles 115.29, 90.00, 100.89 degrees
Positions (direct):
Sm1 0.8513 0.7026 0.3328
Sm2 0.1487 0.2974 0.6672
Ho1 0.3338 0.6676 0.0001
Ho2 0.6662 0.3324 0.9999
Y1 0.1847 0.3694 0.3319
Y2 0.4815 0.9630 0.6683
Y3 0.8153 0.6306 0.6681
Y4 0.5185 0.0370 0.3317
Er1 0.0000 0.0000 0.0000

---

[4]
The following is a PBE calculation of a relaxed structure of Sm2YHo5Er, from the Alexandria database.

Results
The calculated total energy comes out at -81.65 eV/cell. Its calculated density is 8.0 g/cm³. As for the crystal system: tetragonal. The value obtained for the size of the total moment is 0.0000 μB per atom. The value obtained for the volume is 31.997 Å³/atom.

Cell lengths 8.6087, 8.6087, 9.8718 Å; angles 115.85, 115.85, 90.00 degrees
Positions (direct):
Ho1 0.1497 0.0720 0.7217
Ho2 0.6497 0.1497 0.7217
Ho3 0.5720 0.6497 0.7217
Ho4 0.8503 0.9280 0.2783
Ho5 0.5000 0.5000 0.0000
Ho6 0.3503 0.8503 0.2783
Ho7 0.0720 0.5720 0.7217
Ho8 0.9280 0.4280 0.2783
Ho9 0.4280 0.3503 0.2783
Ho10 0.0000 0.0000 0.0000
Er1 0.2500 0.7500 0.5000
Er2 0.7500 0.2500 0.5000
Sm1 0.3828 0.8828 0.0000
Sm2 0.6172 0.1172 0.0000
Sm3 0.8828 0.6172 0.0000
Sm4 0.1172 0.3828 0.0000
Y1 0.2500 0.2500 0.5000
Y2 0.7500 0.7500 0.5000

---

| no. | energy of formation from the pure elements (eV/atom) |
| --- | --- |
| 1 | 0.20 |
| 2 | 0.27 |
| 3 | 0.01 |
| 4 | 0.28 |